# 1
The following is a GGA-PBE calculation of a relaxed structure of Sr2Ca6Mg, from the Alexandria database.

Summary:
E_form: 0.034 eV/atom
Crystal system: monoclinic
Offset from the most stable computed form: 0 meV per atom
Space-group type: C2/m

Unit cell a=4.0516 b=10.8605 c=10.8605 alpha=125.81 beta=85.22 gamma=85.22
Positions (direct):
Ca: 0.8239 0.1724 0.5090
Ca: 0.1761 0.4910 0.8276
Ca: 0.8239 0.5090 0.1724
Ca: 0.3377 0.3158 0.3158
Ca: 0.6623 0.6842 0.6842
Ca: 0.1761 0.8276 0.4910
Mg: 0.0000 0.0000 0.0000
Sr: 0.5000 0.8488 0.1512
Sr: 0.5000 0.1512 0.8488



# 2
The following is a GGA-PBE calculation of a relaxed structure of TiSbSe3, from the Alexandria database.

Summary:
Crystal system: cubic
Formation energy without anion corrections: -221 meV per atom
Space-group type: Pm-3m

Unit cell a=4.9580 b=4.9580 c=4.9580 alpha=90.00 beta=90.00 gamma=90.00
Positions (direct):
Ti: 0.0000 0.0000 0.0000
Se: 0.5000 0.0000 0.0000
Se: 0.0000 0.0000 0.5000
Se: 0.0000 0.5000 0.0000
Sb: 0.5000 0.5000 0.5000



# 3
The following is a GGA-PBE calculation of a relaxed structure of MgBeF, from the Alexandria database.

Summary:
Crystal system: triclinic
Formation energy without anion corrections: -1317 meV per atom
Offset from the most stable computed form: 28 meV per atom
Space-group type: P1

Unit cell a=2.8227 b=4.6836 c=6.6392 alpha=70.82 beta=77.85 gamma=89.99
Positions (direct):
Mg: 0.9340 0.4001 0.0774
Mg: 0.1310 0.0730 0.6899
Be: 0.6283 0.5580 0.6945
Be: 0.2683 0.7291 0.4097
F: 0.3759 0.6357 0.1935
F: 0.3331 0.0955 0.2790



# 4
The following is a GGA-PBE calculation of a relaxed structure of LaBeN, from the Alexandria database.

Summary:
Crystal system: orthorhombic
Formation energy without anion corrections: -953 meV per atom
Offset from the most stable computed form: 0 meV per atom
Space-group type: Cmcm

Unit cell a=3.7683 b=3.8043 c=7.1145 alpha=90.00 beta=105.32 gamma=90.00
Positions (direct):
La: 0.1542 0.2500 0.8090
La: 0.8458 0.7500 0.1910
Be: 0.4511 0.2500 0.4021
Be: 0.5489 0.7500 0.5979
N: 0.6642 0.7500 0.8285
N: 0.3358 0.2500 0.1715



# 5
The following is a GGA-PBE calculation of a relaxed structure of Y2OsAu, from the Alexandria database.

Summary:
E_form: -0.188 eV/atom
Crystal system: trigonal
Space-group type: R-3m

Unit cell a=7.2242 b=7.2242 c=7.2242 alpha=33.06 beta=33.06 gamma=33.06
Positions (direct):
Y: 0.0112 0.0112 0.0112
Y: 0.4888 0.4888 0.4888
Os: 0.7500 0.7500 0.7500
Au: 0.2500 0.2500 0.2500



# 6
The following is a GGA-PBE calculation of a relaxed structure of CaTm2In4, from the Alexandria database.

Summary:
E_form: -0.309 eV/atom
Crystal system: tetragonal
Space-group type: I4/mmm

Unit cell a=6.4087 b=6.4087 c=6.4087 alpha=113.12 beta=107.68 gamma=107.68
Positions (direct):
In: 0.0000 0.5000 0.0000
In: 0.0000 0.0000 0.5000
In: 0.5000 0.5000 0.5000
In: 0.5000 0.0000 0.0000
Ca: 0.0000 0.0000 0.0000
Tm: 0.5000 0.0000 0.5000
Tm: 0.5000 0.5000 0.0000



# 7
The following is a GGA-PBE calculation of a relaxed structure of MnBe17Zn, from the Alexandria database.

Summary:
E_form: 0.001 eV/atom
Crystal system: trigonal
Space-group type: R3m

Unit cell a=5.5020 b=5.5020 c=5.5020 alpha=81.53 beta=81.53 gamma=81.53
Positions (direct):
Be: 0.8962 0.8962 0.8962
Be: 0.1499 0.6593 0.6593
Be: 0.5006 0.9894 0.9894
Be: 0.8307 0.3453 0.3453
Be: 0.9952 0.6873 0.3108
Be: 0.3453 0.3453 0.8307
Be: 0.3453 0.8307 0.3453
Be: 0.6873 0.9952 0.3108
Be: 0.6593 0.6593 0.1499
Be: 0.9894 0.5006 0.9894
Be: 0.6593 0.1499 0.6593
Be: 0.6873 0.3108 0.9952
Be: 0.9952 0.3108 0.6873
Be: 0.3108 0.6873 0.9952
Be: 0.9894 0.9894 0.5006
Be: 0.0971 0.0971 0.0971
Be: 0.3108 0.9952 0.6873
Mn: 0.6757 0.6757 0.6757
Zn: 0.3754 0.3754 0.3754



# 8
The following is a GGA-PBE calculation of a relaxed structure of ZrHg2Pt3O12, from the Alexandria database.

Summary:
Crystal system: trigonal
Formation energy without anion corrections: -613 meV per atom
Space-group type: R-3m

Unit cell a=7.5556 b=7.5556 c=7.5556 alpha=56.68 beta=56.68 gamma=56.68
Positions (direct):
Pt: 0.0000 0.5000 0.0000
Pt: 0.5000 0.0000 0.0000
Pt: 0.0000 0.0000 0.5000
O: 0.6761 0.0750 0.6761
O: 0.9188 0.9188 0.3472
O: 0.6528 0.0812 0.0812
O: 0.9250 0.3239 0.3239
O: 0.0812 0.6528 0.0812
O: 0.3239 0.3239 0.9250
O: 0.6761 0.6761 0.0750
O: 0.0812 0.0812 0.6528
O: 0.3472 0.9188 0.9188
O: 0.0750 0.6761 0.6761
O: 0.3239 0.9250 0.3239
O: 0.9188 0.3472 0.9188
Hg: 0.3018 0.3018 0.3018
Hg: 0.6982 0.6982 0.6982
Zr: 0.0000 0.0000 0.0000



# 9
The following is a GGA-PBE calculation of a relaxed structure of Th2Ni5Ge, from the Alexandria database.

Summary:
E_form: -0.367 eV/atom
Crystal system: tetragonal
Space-group type: I4mm

Unit cell a=5.7730 b=5.7730 c=5.7730 alpha=91.74 beta=119.00 gamma=119.00
Positions (direct):
Ni: 0.0000 0.2866 0.7084
Ni: 0.0000 0.7084 0.2866
Ni: 0.0000 0.2756 0.2756
Ni: 0.5782 0.2866 0.2866
Ni: 0.4218 0.7084 0.7084
Th: 0.5000 0.2425 0.7425
Th: 0.5000 0.7425 0.2425
Ge: 0.0000 0.9715 0.9715



# 10
The following is a GGA-PBE calculation of a relaxed structure of Pr2Dy2In7, from the Alexandria database.

Summary:
E_form: -0.001 eV/atom
Crystal system: orthorhombic
Space-group type: Cmmm

Unit cell a=7.7462 b=6.0809 c=7.7462 alpha=90.00 beta=96.13 gamma=90.00
Positions (direct):
In: 0.0002 0.7384 0.4997
In: 0.5002 0.7377 0.4998
In: 0.9998 0.2616 0.5003
In: 0.4997 0.2616 0.0002
In: 0.5003 0.7384 0.9998
In: 0.0000 0.0000 0.0000
In: 0.4998 0.2623 0.5002
Dy: 0.7322 0.0000 0.2678
Dy: 0.2678 0.0000 0.7322
Pr: 0.8025 0.5000 0.8025
Pr: 0.1975 0.5000 0.1975



# 11
The following is a GGA-PBE calculation of a relaxed structure of SrLiTlAg, from the Alexandria database.

Summary:
E_form: -0.208 eV/atom
Crystal system: cubic
Offset from the most stable computed form: 48 meV per atom
Space-group type: F-43m

Unit cell a=5.2044 b=5.2044 c=5.2044 alpha=60.00 beta=60.00 gamma=60.00
Positions (direct):
Tl: 0.5000 0.5000 0.5000
Sr: 0.0000 0.0000 0.0000
Ag: 0.2500 0.2500 0.2500
Li: 0.7500 0.7500 0.7500



# 12
The following is a GGA-PBE calculation of a relaxed structure of Sc3AlAg, from the Alexandria database.

Summary:
E_form: -0.262 eV/atom
Crystal system: orthorhombic
Offset from the most stable computed form: 0 meV per atom
Space-group type: Cmcm

Unit cell a=4.6628 b=4.6636 c=9.9862 alpha=90.00 beta=76.50 gamma=90.00
Positions (direct):
Sc: 0.2625 0.7500 0.1233
Sc: 0.3858 0.2500 0.8767
Sc: 0.5747 0.2500 0.4990
Sc: 0.8831 0.7500 0.8822
Sc: 0.0737 0.7500 0.5010
Sc: 0.7653 0.2500 0.1178
Ag: 0.4820 0.7500 0.6844
Ag: 0.1664 0.2500 0.3156
Al: 0.6686 0.7500 0.3111
Al: 0.9797 0.2500 0.6889



# 13
The following is a GGA-PBE calculation of a relaxed structure of PrC6N8, from the Alexandria database.

Summary:
Crystal system: trigonal
Formation energy without anion corrections: 320 meV per atom
Space-group type: R3

Unit cell a=5.7039 b=5.7039 c=5.7039 alpha=74.82 beta=74.82 gamma=74.82
Positions (direct):
N: 0.9727 0.6292 0.3142
N: 0.6844 0.6844 0.6844
N: 0.3143 0.7348 0.0260
N: 0.6292 0.3142 0.9727
N: 0.0260 0.3143 0.7348
N: 0.3142 0.9727 0.6292
N: 0.7348 0.0260 0.3143
N: 0.3500 0.3500 0.3500
C: 0.4418 0.8026 0.7929
C: 0.2286 0.2224 0.5779
C: 0.7929 0.4418 0.8026
C: 0.5779 0.2286 0.2224
C: 0.2224 0.5779 0.2286
C: 0.8026 0.7929 0.4418
Pr: 0.9083 0.9083 0.9083



# 14
The following is a GGA-PBE calculation of a relaxed structure of SrAcIrBr, from the Alexandria database.

Summary:
Crystal system: trigonal
Formation energy without anion corrections: -1008 meV per atom
Space-group type: R3m

Unit cell a=4.3204 b=4.3207 c=8.5399 alpha=90.01 beta=104.65 gamma=120.00
Positions (direct):
Br: 0.9708 0.3837 0.3690
Ir: 0.3108 0.5533 0.8796
Sr: 0.4979 0.1468 0.6601
Ac: 0.0984 0.9471 0.0609



# 15
The following is a GGA-PBE calculation of a relaxed structure of RbZrTlTe3, from the Alexandria database.

Summary:
Crystal system: monoclinic
Formation energy without anion corrections: -769 meV per atom
Space-group type: C2/c

Unit cell a=7.5892 b=8.3088 c=9.2414 alpha=63.29 beta=83.87 gamma=76.25
Positions (direct):
Rb: 0.7500 0.7561 0.4877
Rb: 0.2500 0.2439 0.5123
Zr: 0.2500 0.9514 0.0971
Zr: 0.7500 0.0486 0.9029
Tl: 0.7500 0.4167 0.1667
Tl: 0.2500 0.5833 0.8333
Te: 0.5051 0.8198 0.9072
Te: 0.2500 0.7847 0.4307
Te: 0.9949 0.2730 0.9072
Te: 0.0051 0.7270 0.0928
Te: 0.4949 0.1802 0.0928
Te: 0.7500 0.2153 0.5693



# 16
The following is a GGA-PBE calculation of a relaxed structure of TmAlTe, from the Alexandria database.

Summary:
Crystal system: hexagonal
Formation energy without anion corrections: -366 meV per atom
Space-group type: P-6m2

Unit cell a=3.9044 b=3.9037 c=12.4539 alpha=90.00 beta=90.00 gamma=120.01
Positions (direct):
Al: 0.6113 0.2227 0.0000
Al: 0.2776 0.5551 0.5000
Te: 0.6110 0.2221 0.6607
Te: 0.6110 0.2221 0.3393
Tm: 0.2778 0.5556 0.1729
Tm: 0.2778 0.5556 0.8271